Model w:
Compound: ErPa2Mo
Source: Alexandria via LeMat-Bulk
Functional: PBE-GGA
Structure: optimized geometry

Structure (extended XYZ):
```
4
Lattice="-2.325 -1.084 2.654 0.418 -3.309 1.581 4.688 2.138 7.544" Properties=species:S:1:pos:R:3 pbc="T T T"
Mo 0.000 0.000 0.000
Er 1.390 -1.128 5.890
Pa 0.404 -0.761 2.609
Pa 2.377 -1.494 9.171
```

Summary:
**SG**: R-3m (166)
**Magnetization**: 0.00 μB per formula unit
**Fermi-level density of states**: 1.524 states/eV/atom

Model x:
Compound: ErPa2Mo
Source: Alexandria via LeMat-Bulk
Functional: PBE-GGA
Structure: optimized geometry

Structure (extended XYZ):
```
4
Lattice="-1.851 -2.768 0.640 2.692 -1.464 1.452 -2.274 3.252 7.493" Properties=species:S:1:pos:R:3 pbc="T T T"
Er -0.717 -0.490 4.792
Pa -0.472 0.676 1.556
Mo 0.420 -2.116 1.046
Pa -1.802 2.576 5.936
```

Summary:
**SG**: P4/mmm (123)
**Magnetization**: 0.00 μB per formula unit
**Fermi-level density of states**: 2.199 states/eV/atom

On energetic grounds, model x is preferred over the next structure by 225 meV per atom.

Model w:
Compound: ErPaMo
Source: Alexandria via LeMat-Bulk
Functional: PBE-GGA
Structure: optimized geometry

Structure (extended XYZ):
```
6
Lattice="3.190 0.000 0.000 0.000 3.190 0.000 -1.595 -1.595 14.258" Properties=species:S:1:pos:R:3 pbc="T T T"
Mo 0.000 0.000 7.857
Mo 1.595 1.595 6.401
Pa 1.595 1.595 9.938
Er 0.000 0.000 12.597
Pa 0.000 0.000 4.320
Er 1.595 1.595 1.661
```

Summary:
**SG**: I4/mmm (139)
**Magnetization**: 0.00 μB per formula unit
**Fermi-level density of states**: 1.822 states/eV/atom

Model x:
Compound: ErPaMo
Source: Alexandria via LeMat-Bulk
Functional: PBE-GGA
Structure: optimized geometry

Structure (extended XYZ):
```
3
Lattice="3.239 0.000 0.000 0.000 3.239 0.000 -1.620 -1.620 7.547" Properties=species:S:1:pos:R:3 pbc="T T T"
Pa 0.000 0.000 3.023
Mo 1.620 1.620 4.652
Er 1.620 1.620 7.419
```

Summary:
**SG**: I4mm (107)
**Magnetization**: 0.00 μB per formula unit
**Fermi-level density of states**: 1.805 states/eV/atom

On energetic grounds, model w is preferred over the next structure by 663 meV per atom.

Model w:
Compound: ErSc2Mo
Source: Alexandria via LeMat-Bulk
Functional: PBE-GGA
Structure: optimized geometry

Structure (extended XYZ):
```
4
Lattice="-0.825 2.220 2.532 -0.750 -2.663 2.090 7.164 -0.110 2.430" Properties=species:S:1:pos:R:3 pbc="T T T"
Sc 5.759 -0.088 1.954
Sc 1.404 -0.022 0.476
Mo -0.787 -0.222 2.311
Er 2.795 -0.276 3.526
```

Summary:
**SG**: P4/mmm (123)
**Magnetization**: 0.00 μB per formula unit
**Fermi-level density of states**: 1.308 states/eV/atom

Model x:
Compound: ErSc2Mo
Source: Alexandria via LeMat-Bulk
Functional: PBE-GGA
Structure: optimized geometry

Structure (extended XYZ):
```
4
Lattice="3.293 0.000 0.000 1.647 2.852 0.000 1.647 0.951 9.914" Properties=species:S:1:pos:R:3 pbc="T T T"
Mo 0.000 0.000 0.000
Sc 4.940 2.852 7.910
Sc 1.647 0.951 2.005
Er 3.293 1.901 4.957
```

Summary:
**SG**: R-3m (166)
**Magnetization**: 0.00 μB per formula unit
**Fermi-level density of states**: 1.730 states/eV/atom

On energetic grounds, model w is preferred over the next structure by 117 meV per atom.

Model w:
Compound: ErZr2Mo
Source: Alexandria via LeMat-Bulk
Functional: PBE-GGA
Structure: optimized geometry

Structure (extended XYZ):
```
4
Lattice="3.254 0.000 0.000 1.627 2.818 0.000 1.627 0.939 10.377" Properties=species:S:1:pos:R:3 pbc="T T T"
Mo 3.254 1.879 5.188
Zr 4.881 2.818 3.143
Er 0.000 0.000 0.000
Zr 1.627 0.939 7.234
```

Summary:
**SG**: R-3m (166)
**Magnetization**: 0.00 μB per formula unit
**Fermi-level density of states**: 1.430 states/eV/atom

Model x:
Compound: ErZr2Mo
Source: Alexandria via LeMat-Bulk
Functional: PBE-GGA
Structure: optimized geometry

Structure (extended XYZ):
```
4
Lattice="3.444 0.000 0.000 0.000 3.444 0.000 0.000 0.000 7.645" Properties=species:S:1:pos:R:3 pbc="T T T"
Mo 1.722 1.722 0.000
Zr 0.000 0.000 6.108
Zr 0.000 0.000 1.537
Er 1.722 1.722 3.823
```

Summary:
**SG**: P4/mmm (123)
**Magnetization**: 0.00 μB per formula unit
**Fermi-level density of states**: 1.525 states/eV/atom

On energetic grounds, model x is preferred over the next structure by 272 meV per atom.

Model w:
Compound: Er2NO
Source: Alexandria via LeMat-Bulk
Functional: PBE-GGA
Structure: optimized geometry

Structure (extended XYZ):
```
4
Lattice="-1.875 2.339 -1.572 -0.221 0.001 -3.378 -5.136 -2.582 -1.361" Properties=species:S:1:pos:R:3 pbc="T T T"
N -3.616 -0.121 -3.155
O 0.000 0.000 0.000
Er -5.376 -0.144 -4.736
Er -1.856 -0.097 -1.575
```

Summary:
**SG**: R-3m (166)
**Magnetization**: 0.00 μB per formula unit
**Fermi-level density of states**: 0.238 states/eV/atom

Model x:
Compound: Er2NO
Source: Alexandria via LeMat-Bulk
Functional: PBE-GGA
Structure: optimized geometry

Structure (extended XYZ):
```
8
Lattice="3.674 0.000 -0.001 0.000 5.256 0.000 0.002 0.000 7.386" Properties=species:S:1:pos:R:3 pbc="T T T"
N 0.740 4.573 5.373
Er 2.576 3.088 1.670
O 0.739 4.469 1.801
N 2.576 1.945 3.608
O 2.577 1.841 7.179
Er 0.739 0.659 3.548
Er 2.577 3.287 5.433
Er 0.740 0.461 7.310
```

Summary:
**SG**: Pmn2_1 (31)
**Magnetization**: 0.89 μB per formula unit
**Fermi-level density of states**: 0.216 states/eV/atom

On energetic grounds, model w is preferred over the next structure by 258 meV per atom.

Model w:
Compound: Er2NO
Source: Alexandria via LeMat-Bulk
Functional: PBE-GGA
Structure: optimized geometry

Structure (extended XYZ):
```
16
Lattice="-2.040 5.383 -1.189 2.395 -2.310 -4.842 -6.193 -4.194 1.308" Properties=species:S:1:pos:R:3 pbc="T T T"
Er 1.065 -2.101 -3.862
Er -1.641 -1.628 -1.829
Er -1.498 0.016 -4.890
Er -6.903 0.981 -0.861
N -2.593 1.884 -3.955
N -2.286 3.703 -1.107
N -3.553 -4.824 -3.617
N -3.245 -3.005 -0.769
O -3.086 -1.476 -3.790
Er -1.195 1.818 -2.002
Er -4.643 -2.939 -2.722
O -5.788 -0.986 -1.796
Er -4.340 -1.136 0.166
O -0.050 -0.135 -2.928
Er -4.197 0.507 -2.895
O -2.753 0.355 -0.934
```

Summary:
**SG**: C2/c (15)
**Magnetization**: 0.00 μB per formula unit
**Fermi-level density of states**: 0.228 states/eV/atom

Model x:
Compound: Er2NO
Source: Alexandria via LeMat-Bulk
Functional: PBE-GGA
Structure: optimized geometry

Structure (extended XYZ):
```
4
Lattice="3.340 0.000 0.000 1.670 2.892 0.000 1.670 0.964 5.841" Properties=species:S:1:pos:R:3 pbc="T T T"
Er 1.670 0.964 1.344
O 3.340 1.928 2.963
N 5.010 2.892 5.798
Er 1.670 0.964 4.497
```

Summary:
**SG**: R3m (160)
**Magnetization**: 0.00 μB per formula unit
**Fermi-level density of states**: 0.372 states/eV/atom

On energetic grounds, model w is preferred over the next structure by 146 meV per atom.